DFT (GGA-PBE) results for La3Tb5Sm2 after structural relaxation.

It has space group C2/c (No. 15), with a = 10.797 Å, b = 16.886 Å, c = 9.234 Å, α = 90.00°, β = 125.70° and γ = 90.00°. The inequivalent atoms are La at (0.000, 0.230, 0.250), La at (0.146, 0.126, 0.047), Tb at (0.000, 0.026, 0.250), Tb at (0.000, 0.276, 0.750), Tb at (0.000, 0.469, 0.750), Tb at (0.243, 0.386, 0.235) and Sm at (0.146, 0.381, 0.538).



DFT (GGA-PBE) results for La4TbSm5 after structural relaxation.

It has space group C2/m (No. 12), with a = 11.896 Å, b = 5.647 Å, c = 10.653 Å, α = 90.00°, β = 90.09° and γ = 90.00°. The inequivalent atoms are La at (0.049, 0.000, 0.252), La at (0.177, 0.500, 0.750), Tb at (0.000, 0.500, 0.500), Sm at (0.000, 0.500, 0.000), Sm at (0.196, 0.000, 0.936) and Sm at (0.197, 0.000, 0.565).



DFT (GGA-PBE) results for La4TbSm4 after structural relaxation.

It has space group I4/mmm (No. 139), with a = 10.990 Å, b = 10.990 Å, c = 5.215 Å, α = 90.00°, β = 90.00° and γ = 90.00°. The inequivalent atoms are La at (0.167, 0.167, 0.000), Tb at (0.000, 0.000, 0.500) and Sm at (0.000, 0.334, 0.500).



DFT (GGA-PBE) results for LaTb6Sm3 after structural relaxation.

It has space group R32 (No. 155, hexagonal axes), with a = 9.9570 Å, b = 9.9570 Å, c = 11.7057 Å, α = 90.00°, β = 90.00° and γ = 120.00°. The inequivalent atoms are La at (0.0000, 0.0000, 0.0000), Tb at (0.0000, 0.3285, 0.0000), Tb at (0.0000, 0.6750, 0.5000), Sm at (0.0000, 0.0000, 0.2523) and Sm at (0.0000, 0.0000, 0.5000).



| no. | total moment (Bohr magnetons per cell) | formation enthalpy at 0 K (meV/atom) |
| --- | --- | --- |
| 1 | 0.00 | 176 |
| 2 | 0.00 | 159 |
| 3 | 0.00 | 20 |
| 4 | 0.00 | 274 |